A plane-wave DFT calculation with PBE+U was carried out for a relaxed structure of MgFe2OF.

```
5
Lattice="4.304 0.000 0.000 0.000 4.304 0.000 0.000 0.000 3.909" Properties=species:S:1:pos:R:3 pbc="T T T"
Mg 0.000 0.000 0.000
Fe 0.000 2.152 1.955
Fe 2.152 0.000 1.955
O 2.152 2.152 0.000
F 0.000 0.000 1.955
```

VASP energy = -3.953 eV/atom
Symmetry = No. 123
M_tot = 6.435 μB/f.u.